VASP calculation (PBE) on Er3Mg2Hg7 after structural relaxation.

Computed properties:
calculated formation energy	-2.49	eV per formula unit
uncorrected energy	-43.0	eV/cell

Lattice parameters (Å, degrees): 4.9692 24.1488 5.0571 90.00 90.00 90.00
Closest atoms and distances in Å follow each position.
Space group Cmmm (No. 65)
Asymmetric unit:
Er 0.0000 0.0000 0.0000 x2  12 Hg 3.17-3.54
Er 0.0000 0.1591 0.0000 x4  6 Hg 2.97-3.18
Mg 0.0000 0.3477 0.5000 x4  7 Hg 3.00-3.05
Hg 0.0000 0.0791 0.5000 x4  2 Mg 3.05, 2 Hg 3.13, 4 Er 3.17-3.18
Hg 0.0000 0.2234 0.5000 x4  2 Hg 2.80, 2 Er 2.97, 3 Mg 3.00-3.02
Hg 0.0000 0.4145 0.0000 x4  2 Mg 3.00, 4 Er 3.06-3.23, 2 Hg 3.26
Hg 0.0000 0.5000 0.5000 x2  8 Hg 3.13-3.26



VASP calculation (PBE) on RbZn2Ge2 after structural relaxation.

Computed properties:
calculated formation energy	0.92	eV per formula unit
uncorrected energy	-23.7	eV/cell
E above lowest polymorph	5.128	kcal/mol of atoms

Lattice parameters (Å, degrees): 8.6306 8.6306 2.9530 90.00 90.00 90.00
Closest atoms and distances in Å follow each position.
Space group P4/mbm (No. 127)
Asymmetric unit:
Rb 0.0000 0.0000 0.0000 x2  2 Rb 2.95
Zn 0.1390 0.3610 0.5000 x4  6 Ge 2.84-3.06, 2 Zn 2.95
Ge 0.1416 0.6416 0.0000 x4  6 Zn 2.84-3.06, 2 Ge 2.95